Entry 1:
Compound: NaOsAuO3
Source: OQMD via LeMat-Bulk
Functional: PBE-GGA
Structure: relaxed

total energy = -142.5 eV for the cell shown
space group = Pnma

Structure (POSCAR):
```
NaOsAuO3
1.0
12.004 0.000 0.000
0.000 3.173 0.000
0.000 0.000 8.180
Na Os Au O
4 4 4 12
direct
0.226 0.250 0.151
0.274 0.750 0.651
0.726 0.250 0.349
0.774 0.750 0.849
0.029 0.250 0.876
0.471 0.750 0.376
0.529 0.250 0.624
0.971 0.750 0.124
0.098 0.250 0.476
0.402 0.750 0.976
0.598 0.250 0.024
0.902 0.750 0.524
0.043 0.250 0.237
0.114 0.750 0.989
0.148 0.250 0.717
0.352 0.750 0.217
0.386 0.250 0.489
0.457 0.750 0.737
0.543 0.250 0.263
0.614 0.750 0.511
0.648 0.250 0.783
0.852 0.750 0.283
0.886 0.250 0.011
0.957 0.750 0.763
```



Entry 2:
Compound: NaOsAu3O4
Source: OQMD via LeMat-Bulk
Functional: PBE-GGA
Structure: relaxed

total energy = -40.3 eV for the cell shown
space group = P-43m

Structure (POSCAR):
```
NaOsAu3O4
1.0
5.667 0.000 0.000
0.000 5.667 0.000
0.000 0.000 5.667
Na Os Au O
1 1 3 4
direct
0.000 0.000 0.000
0.500 0.500 0.500
0.000 0.500 0.500
0.500 0.000 0.500
0.500 0.500 0.000
0.301 0.301 0.301
0.301 0.699 0.699
0.699 0.301 0.699
0.699 0.699 0.301
```



Entry 3:
Compound: NaOs4Au3O12
Source: OQMD via LeMat-Bulk
Functional: PBE-GGA
Structure: relaxed

total energy = -126.9 eV for the cell shown
space group = Im-3

Structure (POSCAR):
```
NaOs4Au3O12
1.0
-3.820 3.820 3.820
3.820 -3.820 3.820
3.820 3.820 -3.820
Na Os Au O
1 4 3 12
direct
0.000 0.000 0.000
0.000 0.000 0.500
0.000 0.500 0.000
0.500 0.000 0.000
0.500 0.500 0.500
0.000 0.500 0.500
0.500 0.000 0.500
0.500 0.500 0.000
0.113 0.817 0.297
0.183 0.297 0.480
0.183 0.703 0.887
0.297 0.113 0.817
0.297 0.480 0.183
0.480 0.183 0.297
0.520 0.817 0.703
0.703 0.520 0.817
0.703 0.887 0.183
0.817 0.297 0.113
0.817 0.703 0.520
0.887 0.183 0.703
```



no.,size of the total moment (μB per cell)
1,0.0
2,1.5
3,0.5